No. 1
This record from Alexandria via LeMat-Bulk describes an optimized crystal structure of SrLi2In4Rh. The functional is PBE.

Properties
Theoretical density (g/cm3): 5.956
Formation energy from the elements (meV per atom): -369
Total energy (eV per cell): -26.8
Crystal system: trigonal

```
SrLi2In4Rh
1.0
4.5933 0.0000 0.0000
2.2966 3.9779 0.0000
2.2966 1.3260 10.1271
Sr Li In Rh
1 2 4 1
Cartesian
0.0000 0.0000 0.0000
6.8899 3.9779 6.8296
2.2966 1.3260 3.2975
4.5933 2.6519 7.8905
6.8899 3.9779 4.0056
2.2966 1.3260 6.1215
4.5933 2.6519 2.2366
4.5933 2.6519 5.0636
```


No. 2
This record from Alexandria via LeMat-Bulk describes an optimized crystal structure of SrScAs2. The functional is PBE.

Properties
Theoretical density (g/cm3): 4.832
Formation energy from the elements (meV per atom): -840
Total energy (eV per cell): -20.7
Crystal system: monoclinic

```
SrScAs2
1.0
5.8783 -0.0022 -0.0080
4.5054 3.7756 -0.0080
0.4314 0.1568 4.3702
As Sc Sr
2 1 1
Cartesian
10.2232 3.7151 0.6746
8.3107 3.0201 2.6176
5.4779 1.9906 2.7249
2.5944 0.9428 0.4980
```